1.
SrEu2Ho | Alexandria | GGA-PBE | optimized geometry; energy of formation from the pure elements = 0.10 eV/atom; space-group type = R-3m; energy relative to the lowest polymorph listed for this composition = 3 kJ/mol of formula units; V = 41.1 Å³/atom; Fermi-level density of states = 4.10 states/eV/f.u.; crystal system = trigonal
1.0
-2.0066 1.8645 2.7129
-0.7600 -1.7253 3.3629
9.9334 4.6921 6.8618
Eu Sr Ho
2 1 1
Direct
0.7438 0.7438 0.7686
0.2562 0.2562 0.2314
0.5000 0.5000 0.5000
0.0000 0.0000 0.0000

2.
SrEu2Ho | Alexandria | GGA-PBE | optimized geometry; energy of formation from the pure elements = 0.16 eV/atom; space-group type = Fm-3m; energy relative to the lowest polymorph listed for this composition = 24 kJ/mol of formula units; V = 40.5 Å³/atom; Fermi-level density of states = 3.53 states/eV/f.u.; crystal system = cubic
1.0
6.1202 0.0000 0.0000
3.0601 5.3003 0.0000
3.0601 1.7668 4.9971
Eu Sr Ho
2 1 1
Direct
0.2500 0.2500 0.2500
0.7500 0.7500 0.7500
0.5000 0.5000 0.5000
0.0000 0.0000 0.0000

3.
SrEu2Ho | Alexandria | GGA-PBE | optimized geometry; energy of formation from the pure elements = 0.16 eV/atom; space-group type = P4/mmm; energy relative to the lowest polymorph listed for this composition = 25 kJ/mol of formula units; V = 40.5 Å³/atom; Fermi-level density of states = 3.56 states/eV/f.u.; crystal system = tetragonal
1.0
4.2687 0.0000 0.0000
0.0000 6.1587 0.0000
0.0000 0.0000 6.1587
Eu Sr Ho
2 1 1
Direct
0.0000 0.0000 0.5000
0.0000 0.5000 0.0000
0.5000 0.0000 0.0000
0.5000 0.5000 0.5000

4.
SrEuHo | Alexandria | GGA-PBE | optimized geometry; energy of formation from the pure elements = 0.15 eV/atom; space-group type = I4mm; energy relative to the lowest polymorph listed for this composition = 0 kJ/mol of formula units; V = 41.0 Å³/atom; Fermi-level density of states = 3.78 states/eV/f.u.; crystal system = tetragonal
1.0
-1.4065 -3.4556 0.9342
0.3448 -1.1299 -3.6602
8.2248 -0.4169 2.9241
Eu Sr Ho
1 1 1
Direct
0.6802 0.6802 0.3603
0.9938 0.9938 0.9876
0.3261 0.3261 0.6521

5.
SrEu2Ho | Alexandria | GGA-PBE | optimized geometry; energy of formation from the pure elements = 0.10 eV/atom; space-group type = P4/mmm; energy relative to the lowest polymorph listed for this composition = 0 kJ/mol of formula units; V = 41.4 Å³/atom; Fermi-level density of states = 3.92 states/eV/f.u.; crystal system = tetragonal
1.0
3.8693 0.0000 0.0000
0.0000 3.8693 0.0000
0.0000 0.0000 11.0527
Eu Sr Ho
2 1 1
Direct
0.0000 0.0000 0.7779
0.0000 0.0000 0.2221
0.5000 0.5000 0.5000
0.5000 0.5000 0.0000

6.
EuHo2Ta | Alexandria | GGA-PBE | optimized geometry; energy of formation from the pure elements = 0.48 eV/atom; space-group type = Fm-3m; V = 27.6 Å³/atom; Fermi-level density of states = 5.74 states/eV/f.u.; crystal system = cubic
1.0
5.3829 0.0000 0.0000
2.6914 4.6617 0.0000
2.6914 1.5539 4.3979
Eu Ho Ta
1 2 1
Direct
0.5000 0.5000 0.5000
0.2500 0.2500 0.2500
0.7500 0.7500 0.7500
0.0000 0.0000 0.0000

7.
TbEuHo2 | Alexandria | GGA-PBE | optimized geometry; energy of formation from the pure elements = 0.06 eV/atom; space-group type = P4/mmm; energy relative to the lowest polymorph listed for this composition = 0 kJ/mol of formula units; V = 33.3 Å³/atom; Fermi-level density of states = 5.39 states/eV/f.u.; crystal system = tetragonal
1.0
3.6020 0.0000 0.0000
0.0000 3.6020 0.0000
0.0000 0.0000 10.2601
Eu Tb Ho
1 1 2
Direct
0.5000 0.5000 0.5000
0.5000 0.5000 0.0000
0.0000 0.0000 0.7654
0.0000 0.0000 0.2346

8.
TbEuHo | Alexandria | GGA-PBE | optimized geometry; energy of formation from the pure elements = 0.06 eV/atom; space-group type = P3m1; V = 33.9 Å³/atom; Fermi-level density of states = 3.52 states/eV/f.u.; crystal system = trigonal
1.0
-3.4219 -1.1985 -0.2251
2.3940 -1.7274 2.1170
-2.2803 5.2252 6.8422
Eu Tb Ho
1 1 1
Direct
0.0000 0.0000 0.9988
0.6667 0.3333 0.3457
0.3333 0.6667 0.6555

9.
TbEuHo2 | Alexandria | GGA-PBE | optimized geometry; energy of formation from the pure elements = 0.17 eV/atom; space-group type = Fm-3m; energy relative to the lowest polymorph listed for this composition = 40 kJ/mol of formula units; V = 33.2 Å³/atom; Fermi-level density of states = 7.92 states/eV/f.u.; crystal system = cubic
1.0
-2.7679 1.8748 4.6486
-5.1449 -2.1357 1.3243
-0.5941 -3.4215 4.5525
Eu Tb Ho
1 1 2
Direct
0.0000 0.0000 0.0000
0.5000 0.5000 0.5000
0.2500 0.2500 0.2500
0.7500 0.7500 0.7500

10.
TbEuHo | Alexandria | GGA-PBE | optimized geometry; energy of formation from the pure elements = 0.06 eV/atom; space-group type = I4mm; V = 34.1 Å³/atom; Fermi-level density of states = 3.83 states/eV/f.u.; crystal system = tetragonal
1.0
3.6363 0.0000 0.0000
0.0000 3.6363 0.0000
-1.8182 -1.8182 7.7394
Eu Tb Ho
1 1 1
Direct
0.9996 0.9996 0.9991
0.6752 0.6752 0.3504
0.3252 0.3252 0.6505

11.
TbEuHo2 | Alexandria | GGA-PBE | optimized geometry; energy of formation from the pure elements = 0.09 eV/atom; space-group type = P4/mmm; energy relative to the lowest polymorph listed for this composition = 12 kJ/mol of formula units; V = 32.8 Å³/atom; Fermi-level density of states = 5.95 states/eV/f.u.; crystal system = tetragonal
1.0
-4.2269 0.8352 2.6872
-2.7871 -0.5423 -4.2154
-0.4063 -4.9839 0.9098
Eu Tb Ho
1 1 2
Direct
0.5000 0.0000 0.0000
0.5000 0.5000 0.5000
0.0000 0.0000 0.5000
0.0000 0.5000 0.0000

12.
EuHo2Tc | Alexandria | GGA-PBE | optimized geometry; energy of formation from the pure elements = -0.01 eV/atom; space-group type = P4/mmm; energy relative to the lowest polymorph listed for this composition = 0 kJ/mol of formula units; V = 28.0 Å³/atom; Fermi-level density of states = 5.01 states/eV/f.u.; crystal system = tetragonal
1.0
-2.6493 1.9169 -1.1969
-2.2264 -1.8972 1.8895
1.0294 5.8437 7.0802
Eu Ho Tc
1 2 1
Direct
0.5000 0.5000 0.5000
0.0000 0.0000 0.8258
0.0000 0.0000 0.1742
0.5000 0.5000 0.0000